1.
PaPd4Au3: relaxed, PBE.

abc: 4.850 5.111 6.947
angles: 113.51 110.43 90.00
Atoms (fractional coordinates):
Pd  0.258  0.674  0.517
Pd  0.742  0.326  0.483
Au  0.852  0.936  0.704
Pa  0.500  0.000  0.000
Pd  0.380  0.330  0.761
Au  0.000  0.500  0.000
Pd  0.620  0.670  0.239
Au  0.148  0.064  0.296

The value obtained for the energy relative to the lowest polymorph listed for this composition is 38 meV/atom.



2.
PaPd5Au2: relaxed, PBE.

abc: 4.949 4.949 7.160
angles: 116.88 116.88 72.03
Atoms (fractional coordinates):
Pd  0.124  0.624  0.248
Pd  0.624  0.124  0.248
Pd  0.500  0.500  0.000
Pd  0.376  0.876  0.752
Pd  0.876  0.376  0.752
Pa  0.000  0.000  0.000
Au  0.743  0.743  0.485
Au  0.257  0.257  0.515

The value obtained for the energy relative to the lowest polymorph listed for this composition is 0 meV/atom.



3.
PaPd2Au: relaxed, PBE.

abc: 3.474 3.474 6.335
angles: 90.00 90.00 90.00
Atoms (fractional coordinates):
Pd  0.000  0.000  0.766
Pa  0.500  0.500  0.500
Pd  0.000  0.000  0.234
Au  0.500  0.500  0.000

The value obtained for the energy relative to the lowest polymorph listed for this composition is 84 meV/atom.



4.
PaPd6Au3: relaxed, PBE.

abc: 7.009 5.600 5.600
angles: 60.45 75.75 75.75
Atoms (fractional coordinates):
Au  0.687  0.892  0.892
Pd  0.312  0.597  0.096
Pa  0.500  0.500  0.500
Pd  0.907  0.372  0.372
Pd  0.093  0.628  0.628
Au  0.313  0.108  0.108
Pd  0.688  0.403  0.904
Pd  0.688  0.904  0.403
Pd  0.312  0.096  0.597
Au  0.000  0.000  0.000

The value obtained for the energy relative to the lowest polymorph listed for this composition is 93 meV/atom.



5.
PaPd2Au: relaxed, PBE.

abc: 4.773 4.773 4.773
angles: 60.00 60.00 60.00
Atoms (fractional coordinates):
Au  0.500  0.500  0.500
Pa  0.000  0.000  0.000
Pd  0.750  0.750  0.750
Pd  0.250  0.250  0.250

The value obtained for the energy relative to the lowest polymorph listed for this composition is 0 meV/atom.



6.
PaPdAu: relaxed, PBE.

abc: 4.749 8.222 6.184
angles: 90.00 90.00 90.00
Site moments in Bohr magnetons follow the coordinates.
Atoms (fractional coordinates):
Pd  0.750  0.583  0.750  0.00
Pd  0.250  0.083  0.750  0.00
Au  0.250  0.417  0.751  0.00
Pa  0.250  0.750  0.000  0.54
Au  0.750  0.583  0.249  0.00
Au  0.250  0.083  0.251  0.00
Pd  0.750  0.917  0.250  0.00
Pa  0.750  0.250  0.500  0.54
Pa  0.250  0.750  0.500  0.54
Pd  0.250  0.417  0.250  0.00
Pa  0.750  0.250  0.000  0.54
Au  0.750  0.917  0.749  0.00

The value obtained for the energy relative to the lowest polymorph listed for this composition is 0 meV/atom.



7.
PaPd3Au3: relaxed, PBE.

abc: 7.902 7.501 5.356
angles: 70.09 71.92 60.90
Atoms (fractional coordinates):
Au  0.224  0.687  0.841
Pa  0.358  0.396  0.413
Pd  0.339  0.003  0.431
Pd  0.661  0.997  0.569
Au  0.075  0.855  0.328
Pd  0.048  0.435  0.258
Pa  0.642  0.604  0.587
Au  0.925  0.145  0.672
Au  0.776  0.313  0.159
Au  0.216  0.140  0.919
Au  0.784  0.860  0.081
Pd  0.952  0.565  0.742
Pd  0.506  0.267  0.920
Pd  0.494  0.733  0.080

The value obtained for the energy relative to the lowest polymorph listed for this composition is 0 meV/atom.



8.
PaPd2Au: relaxed, PBE.

abc: 3.790 7.627 5.968
angles: 90.00 90.00 90.00
Atoms (fractional coordinates):
Pd  0.000  0.068  0.217
Pd  0.500  0.932  0.717
Pd  0.500  0.568  0.245
Au  0.000  0.750  0.981
Pd  0.000  0.432  0.745
Pa  0.000  0.750  0.481
Pa  0.500  0.250  0.981
Au  0.500  0.250  0.481

The value obtained for the energy relative to the lowest polymorph listed for this composition is 371 meV/atom.



9.
PaPd8Au6: relaxed, PBE.

abc: 5.073 7.807 7.807
angles: 120.00 90.00 90.00
Atoms (fractional coordinates):
Au  0.693  0.893  0.536
Pd  0.816  0.719  0.766
Au  0.307  0.107  0.464
Au  0.693  0.642  0.107
Au  0.307  0.536  0.642
Pd  0.816  0.047  0.281
Pd  0.184  0.281  0.234
Au  0.693  0.464  0.358
Pd  0.198  0.667  0.333
Pa  0.500  0.000  0.000
Pd  0.184  0.766  0.047
Pd  0.184  0.953  0.719
Pd  0.816  0.234  0.953
Au  0.307  0.358  0.893
Pd  0.802  0.333  0.667

For the total energy, the calculation gives -73.7 eV per cell.



10.
Pa2Pd12Au5: relaxed, PBE.

abc: 7.665 10.147 6.620
angles: 107.12 117.83 113.27
Atoms (fractional coordinates):
Pd  0.456  0.840  0.798
Pd  0.953  0.345  0.799
Pd  0.658  0.456  0.605
Au  0.111  0.800  0.884
Pd  0.843  0.046  0.398
Pd  0.702  0.595  0.301
Au  0.614  0.312  0.905
Pd  0.298  0.405  0.699
Pd  0.342  0.544  0.395
Au  0.386  0.688  0.095
Pd  0.544  0.160  0.202
Pd  0.802  0.895  0.695
Au  0.500  0.000  0.500
Pa  0.754  0.750  0.001
Pa  0.246  0.250  0.999
Pd  0.157  0.954  0.602
Pd  0.198  0.105  0.305
Pd  0.047  0.655  0.201
Au  0.889  0.200  0.116

The value obtained for the energy relative to the lowest polymorph listed for this composition is 27 meV/atom.



11.
PaPdAu: relaxed, PBE.

abc: 4.639 4.639 4.639
angles: 60.00 60.00 60.00
Site moments in Bohr magnetons follow the coordinates.
Atoms (fractional coordinates):
Au  0.500  0.500  0.500  0.06
Pa  0.000  0.000  0.000  1.03
Pd  0.250  0.250  0.250  0.02

The value obtained for the energy relative to the lowest polymorph listed for this composition is 250 meV/atom.



12.
Pa2Pd7Au3: relaxed, PBE.

abc: 3.808 4.002 15.200
angles: 97.54 90.00 90.00
Atoms (fractional coordinates):
Pa  0.500  0.362  0.724
Pd  0.500  0.927  0.854
Pa  0.500  0.638  0.276
Pd  0.500  0.278  0.556
Au  0.000  0.190  0.380
Pd  0.000  0.428  0.857
Au  0.500  0.500  0.000
Pd  0.000  0.000  0.000
Pd  0.000  0.572  0.143
Pd  0.500  0.722  0.444
Au  0.000  0.810  0.620
Pd  0.500  0.073  0.146

For the total energy, the calculation gives -69.0 eV per cell.